# BeVAs, relaxed, DFT PBE
data_BeVAs
_chemical_formula_sum 'Be1 V1 As1'
_cell_length_a 4.523
_cell_length_b 4.523
_cell_length_c 4.523
_cell_angle_alpha 140.05
_cell_angle_beta 140.05
_cell_angle_gamma 57.78
_space_group_name_H-M_alt 'P 1'
_space_group_IT_number 1
_space_group_name_Hall 'P 1'
loop_
_atom_site_label
_atom_site_type_symbol
_atom_site_fract_x
_atom_site_fract_y
_atom_site_fract_z
Be1 Be 0.000 0.000 0.000
V1 V 0.335 0.335 0.000
As1 As 0.664 0.664 0.000
# Calculated formation energy: -0.0161 eV/atom
# Energy above the most stable polymorph in this dataset: 102.2 meV per atom